Computed, not measured: a relaxed structure of CrPtI2 at the PBE level of DFT.

The density comes out at 8.89 g/cm3. The total energy comes out at -0.2948 Ry/atom. As for the size of the total moment: 15.96 Bohr magnetons per cell.

The structure belongs to space group Fm-3m (No. 225); the cell edges are 7.2074, 7.2074 and 7.2074 Å and the angles 90.00°, 90.00° and 90.00°. The inequivalent atoms are Cr at (0.0000, 0.0000, 0.0000), Pt at (0.0000, 0.0000, 0.5000) and I at (0.2500, 0.2500, 0.2500).

---

Computed, not measured: a relaxed structure of CrPtI2 at the PBE level of DFT.

The density comes out at 6.80 g/cm3. The total energy comes out at -0.3212 Ry/atom. As for the size of the total moment: 16.00 Bohr magnetons per cell.

The structure belongs to space group I-42d (No. 122); the cell edges are 6.1138, 6.1138 and 13.0930 Å and the angles 90.00°, 90.00° and 90.00°. The inequivalent atoms are Cr at (0.0000, 0.0000, 0.0000), Pt at (0.0000, 0.0000, 0.5000) and I at (0.2431, 0.2500, 0.6250).

---

Computed, not measured: a relaxed structure of Cr3PtI at the PBE level of DFT.

The density comes out at 6.31 g/cm3. The total energy comes out at -0.4674 Ry/atom. As for the size of the total moment: 12.94 Bohr magnetons per cell.

The structure belongs to space group Pm-3m (No. 221); the cell edges are 5.0092, 5.0092 and 5.0092 Å and the angles 90.00°, 90.00° and 90.00°. The inequivalent atoms are Cr at (0.0000, 0.0000, 0.5000), Pt at (0.0000, 0.0000, 0.0000) and I at (0.5000, 0.5000, 0.5000).

---

Computed, not measured: a relaxed structure of CrPt2I at the PBE level of DFT.

The density comes out at 10.20 g/cm3. The total energy comes out at -0.3816 Ry/atom. As for the size of the total moment: 4.35 Bohr magnetons per cell.

The structure belongs to space group I-42d (No. 122); the cell edges are 6.5426, 6.5426 and 8.6563 Å and the angles 90.00°, 90.00° and 90.00°. The inequivalent atoms are Cr at (0.0000, 0.0000, 0.0000), Pt at (0.2001, 0.2500, 0.1250) and I at (0.0000, 0.0000, 0.5000).

---

Computed, not measured: a relaxed structure of Rb2CrPtI6 at the PBE level of DFT.

The density comes out at 5.28 g/cm3. The total energy comes out at -0.2428 Ry/atom. As for the size of the total moment: 8.84 Bohr magnetons per cell.

The structure belongs to space group I4/mmm (No. 139); the cell edges are 8.0787, 8.0787 and 11.3591 Å and the angles 90.00°, 90.00° and 90.00°. The inequivalent atoms are Rb at (0.0000, 0.5000, 0.2500), Cr at (0.0000, 0.0000, 0.0000), Pt at (0.0000, 0.0000, 0.5000), I at (0.0000, 0.0000, 0.2558) and I at (0.2494, 0.2494, 0.0000).

---

Computed, not measured: a relaxed structure of CrSbPtI2 at the PBE level of DFT.

The density comes out at 6.31 g/cm3. The total energy comes out at -0.2915 Ry/atom. As for the size of the total moment: 4.89 Bohr magnetons per cell.

The structure belongs to space group P4/mmm (No. 123); the cell edges are 5.6555, 5.6555 and 5.1236 Å and the angles 90.00°, 90.00° and 90.00°. The inequivalent atoms are Cr at (0.0000, 0.0000, 0.0000), Sb at (0.5000, 0.5000, 0.0000), Pt at (0.5000, 0.5000, 0.5000) and I at (0.0000, 0.5000, 0.5000).

---

Computed, not measured: a relaxed structure of SrCrPtI2 at the PBE level of DFT.

The density comes out at 4.48 g/cm3. The total energy comes out at -0.2665 Ry/atom. As for the size of the total moment: 4.26 Bohr magnetons per cell.

The structure belongs to space group P4/mmm (No. 123); the cell edges are 6.2400, 6.2400 and 5.6010 Å and the angles 90.00°, 90.00° and 90.00°. The inequivalent atoms are Sr at (0.0000, 0.0000, 0.0000), Cr at (0.5000, 0.5000, 0.5000), Pt at (0.0000, 0.0000, 0.5000) and I at (0.0000, 0.5000, 0.0000).

---

Computed, not measured: a relaxed structure of CrPt2WI at the PBE level of DFT.

The density comes out at 10.56 g/cm3. The total energy comes out at -0.4405 Ry/atom. As for the size of the total moment: 2.64 Bohr magnetons per cell.

The structure belongs to space group P4/mmm (No. 123); the cell edges are 4.9216, 4.9216 and 4.8889 Å and the angles 90.00°, 90.00° and 90.00°. The inequivalent atoms are Cr at (0.0000, 0.0000, 0.0000), Pt at (0.0000, 0.5000, 0.5000), W at (0.0000, 0.0000, 0.5000) and I at (0.5000, 0.5000, 0.0000).

---

Repeat the sixth record exactly.
Computed, not measured: a relaxed structure of CrSbPtI2 at the PBE level of DFT.

The density comes out at 6.31 g/cm3. The total energy comes out at -0.2915 Ry/atom. As for the size of the total moment: 4.89 Bohr magnetons per cell.

The structure belongs to space group P4/mmm (No. 123); the cell edges are 5.6555, 5.6555 and 5.1236 Å and the angles 90.00°, 90.00° and 90.00°. The inequivalent atoms are Cr at (0.0000, 0.0000, 0.0000), Sb at (0.5000, 0.5000, 0.0000), Pt at (0.5000, 0.5000, 0.5000) and I at (0.0000, 0.5000, 0.5000).

---

Copy entry 7 word for word.
Computed, not measured: a relaxed structure of SrCrPtI2 at the PBE level of DFT.

The density comes out at 4.48 g/cm3. The total energy comes out at -0.2665 Ry/atom. As for the size of the total moment: 4.26 Bohr magnetons per cell.

The structure belongs to space group P4/mmm (No. 123); the cell edges are 6.2400, 6.2400 and 5.6010 Å and the angles 90.00°, 90.00° and 90.00°. The inequivalent atoms are Sr at (0.0000, 0.0000, 0.0000), Cr at (0.5000, 0.5000, 0.5000), Pt at (0.0000, 0.0000, 0.5000) and I at (0.0000, 0.5000, 0.0000).